(1)
The following is a GGA-PBE calculation of an optimized crystal structure of La2ReRh, from Alexandria.

abc: 4.4991 4.6770 10.0587
angles: 90.00 90.00 90.00
Closest atoms and distances in Å follow each position.
Fractional positions:
La 0.0000 0.0000 0.0000  3 Re 3.05-3.06, 4 Rh 3.40
La 0.0000 0.5000 0.5000  3 Re 3.05-3.06, 4 Rh 3.40
La 0.5000 0.0000 0.2997  3 Rh 3.02-3.08
La 0.5000 0.5000 0.7997  3 Rh 3.02-3.08
Re 0.0000 0.0000 0.6968  2 Rh 2.45
Re 0.0000 0.5000 0.1968  2 Rh 2.45
Rh 0.5000 0.0000 0.6002  2 Re 2.45
Rh 0.5000 0.5000 0.1002  2 Re 2.45

Summary:
E above lowest polymorph ... 0.0000 eV per atom
Electronic total energy ... -60.01 eV for the cell shown

***

(2)
The following is a GGA-PBE calculation of an optimized crystal structure of NaPm2Sn3Pd4, from Alexandria.

abc: 4.5013 4.5013 11.1266
angles: 90.00 90.00 90.00
Closest atoms and distances in Å follow each position.
Fractional positions:
Na 0.0000 0.0000 0.0000  4 Pd 2.73
Pm 0.0000 0.5000 0.7316  6 Sn 3.38-3.74, 8 Pd 3.42-3.50, 2 Na 3.74
Pm 0.5000 0.0000 0.2684  6 Sn 3.38-3.74, 8 Pd 3.42-3.50, 2 Na 3.74
Sn 0.0000 0.5000 0.3706  5 Pd 2.59-2.67
Sn 0.5000 0.0000 0.6294  5 Pd 2.59-2.67
Sn 0.5000 0.5000 0.0000  4 Pd 2.73
Pd 0.0000 0.0000 0.5000  4 Sn 2.67
Pd 0.0000 0.5000 0.1382  3 Sn 2.59-2.73, 2 Na 2.73
Pd 0.5000 0.0000 0.8618  3 Sn 2.59-2.73, 2 Na 2.73
Pd 0.5000 0.5000 0.5000  4 Sn 2.67

Summary:
Electronic total energy ... -50.16 eV for the cell shown

***

(3)
The following is a GGA-PBE calculation of an optimized crystal structure of Sr3Ca3Cd4, from Alexandria.

abc: 4.4917 8.8890 8.8890
angles: 89.95 90.00 90.00
Closest atoms and distances in Å follow each position.
Fractional positions:
Sr 0.0000 0.0000 0.0000  6 Cd 3.44-3.48
Sr 0.0000 0.4950 0.8256  6 Cd 3.46-3.51
Sr 0.0000 0.8256 0.4950  6 Cd 3.46-3.51
Ca 0.0000 0.3285 0.3285  6 Cd 3.32-3.39
Ca 0.5000 0.1630 0.6573  4 Cd 3.39-3.64
Ca 0.5000 0.6573 0.1630  4 Cd 3.39-3.64
Cd 0.5000 0.0444 0.2950  1 Cd 3.15, 3 Ca 3.39, 4 Sr 3.46-3.48
Cd 0.5000 0.2950 0.0444  1 Cd 3.15, 3 Ca 3.39, 4 Sr 3.46-3.48
Cd 0.5000 0.5234 0.5234  4 Ca 3.32-3.42, 1 Cd 3.38, 4 Sr 3.51
Cd 0.5000 0.7923 0.7923  1 Cd 3.38, 6 Sr 3.44-3.48, 2 Ca 3.51

Summary:
Electronic total energy ... -17.41 eV for the cell shown

***

(4)
The following is a GGA-PBE calculation of an optimized crystal structure of Li3ReF, from Alexandria.

abc: 4.0416 4.0416 4.0416
angles: 90.00 90.00 90.00
Closest atoms and distances in Å follow each position.
Fractional positions:
Li 0.0000 0.0000 0.5000  2 F 2.02
Li 0.0000 0.5000 0.0000  2 F 2.02
Li 0.5000 0.0000 0.0000  2 F 2.02
Re 0.5000 0.5000 0.5000  12 Li 2.86
F 0.0000 0.0000 0.0000  6 Li 2.02

Summary:
E above lowest polymorph ... 0.0000 eV per atom
Electronic total energy ... -20.90 eV for the cell shown
Formation energy (no corrections) ... -0.168 eV per atom

***

(5)
The following is a GGA-PBE calculation of an optimized crystal structure of K7Rb12Ba, from Alexandria.

abc: 15.1997 15.1997 15.1997
angles: 115.92 115.92 115.92
Closest atoms and distances in Å follow each position.
Fractional positions:
K 0.0000 0.0000 0.0000  2 Ba 4.67, 6 K 4.98, 6 Rb 5.10
K 0.1461 0.3840 0.4349  1 Ba 4.31, 4 Rb 4.47-4.66
K 0.3840 0.4349 0.1461  1 Ba 4.31, 4 Rb 4.47-4.66
K 0.4349 0.1461 0.3840  1 Ba 4.31, 4 Rb 4.47-4.66
K 0.5651 0.8539 0.6160  1 Ba 4.31, 4 Rb 4.47-4.66
K 0.6160 0.5651 0.8539  1 Ba 4.31, 4 Rb 4.47-4.66
K 0.8539 0.6160 0.5651  1 Ba 4.31, 4 Rb 4.47-4.66
Rb 0.0364 0.3840 0.0846  5 K 4.57-5.10, 3 Rb 5.01-5.06
Rb 0.0846 0.0364 0.3840  5 K 4.57-5.10, 3 Rb 5.01-5.06
Rb 0.1508 0.7079 0.5209  3 K 4.47-4.87, 2 Rb 4.61
Rb 0.2921 0.4791 0.8492  3 K 4.47-4.87, 2 Rb 4.61
Rb 0.3840 0.0846 0.0364  5 K 4.57-5.10, 3 Rb 5.01-5.06
Rb 0.4791 0.8492 0.2921  3 K 4.47-4.87, 2 Rb 4.61
Rb 0.5209 0.1508 0.7079  3 K 4.47-4.87, 2 Rb 4.61
Rb 0.6160 0.9154 0.9636  5 K 4.57-5.10, 3 Rb 5.01-5.06
Rb 0.7079 0.5209 0.1508  3 K 4.47-4.87, 2 Rb 4.61
Rb 0.8492 0.2921 0.4791  3 K 4.47-4.87, 2 Rb 4.61
Rb 0.9154 0.9636 0.6160  5 K 4.57-5.10, 3 Rb 5.01-5.06
Rb 0.9636 0.6160 0.9154  5 K 4.57-5.10, 3 Rb 5.01-5.06
Ba 0.5000 0.5000 0.5000  8 K 4.31-4.67

Summary:
Electronic total energy ... -19.60 eV for the cell shown

***

(6)
The following is a GGA-PBE calculation of an optimized crystal structure of Ga4PdRh3, from Alexandria.

abc: 2.9937 4.3633 8.7397
angles: 90.00 90.00 90.00
Closest atoms and distances in Å follow each position.
Fractional positions:
Ga 0.0000 0.0000 0.0000  8 Rh 2.65
Ga 0.0000 0.0000 0.5000  4 Pd 2.65, 4 Rh 2.65
Ga 0.0000 0.5000 0.2452  6 Rh 2.61-2.65, 2 Pd 2.68
Ga 0.0000 0.5000 0.7548  6 Rh 2.61-2.65, 2 Pd 2.68
Pd 0.5000 0.5000 0.5000  8 Ga 2.65-2.68
Rh 0.5000 0.0000 0.2502  8 Ga 2.65
Rh 0.5000 0.0000 0.7498  8 Ga 2.65
Rh 0.5000 0.5000 0.0000  8 Ga 2.61-2.65

Summary:
Electronic total energy ... -44.43 eV for the cell shown

***

(7)
The following is a GGA-PBE calculation of an optimized crystal structure of PmVRu2, from Alexandria.

abc: 6.4912 6.4912 6.4912
angles: 90.00 90.00 90.00
Closest atoms and distances in Å follow each position.
Fractional positions:
Pm 0.0000 0.0000 0.0000  8 Ru 2.81
Pm 0.0000 0.5000 0.5000  8 Ru 2.81
Pm 0.5000 0.0000 0.5000  8 Ru 2.81
Pm 0.5000 0.5000 0.0000  8 Ru 2.81
V 0.0000 0.0000 0.5000  8 Ru 2.81
V 0.0000 0.5000 0.0000  8 Ru 2.81
V 0.5000 0.0000 0.0000  8 Ru 2.81
V 0.5000 0.5000 0.5000  8 Ru 2.81
Ru 0.2500 0.2500 0.2500  4 Pm 2.81, 4 V 2.81
Ru 0.2500 0.2500 0.7500  4 Pm 2.81, 4 V 2.81
Ru 0.2500 0.7500 0.2500  4 Pm 2.81, 4 V 2.81
Ru 0.2500 0.7500 0.7500  4 Pm 2.81, 4 V 2.81
Ru 0.7500 0.2500 0.2500  4 Pm 2.81, 4 V 2.81
Ru 0.7500 0.2500 0.7500  4 Pm 2.81, 4 V 2.81
Ru 0.7500 0.7500 0.2500  4 Pm 2.81, 4 V 2.81
Ru 0.7500 0.7500 0.7500  4 Pm 2.81, 4 V 2.81

Summary:
E above lowest polymorph ... 0.1597 eV per atom
Electronic total energy ... -128.97 eV for the cell shown

***

(8)
The following is a GGA-PBE calculation of an optimized crystal structure of LaAlO3, from Alexandria.

abc: 6.0038 6.0038 6.0038
angles: 52.87 52.87 52.87
Closest atoms and distances in Å follow each position.
Fractional positions:
La 0.1235 0.1235 0.1235  3 O 2.29
La 0.8765 0.8765 0.8765  3 O 2.29
Al 0.3404 0.3404 0.3404  6 O 1.95-2.00
Al 0.6596 0.6596 0.6596  6 O 1.95-2.00
O 0.0617 0.6751 0.4775  2 Al 1.95-2.00
O 0.3249 0.5225 0.9383  2 Al 1.95-2.00
O 0.4775 0.0617 0.6751  2 Al 1.95-2.00
O 0.5225 0.9383 0.3249  2 Al 1.95-2.00
O 0.6751 0.4775 0.0617  2 Al 1.95-2.00
O 0.9383 0.3249 0.5225  2 Al 1.95-2.00

Summary:
Electronic total energy ... -77.62 eV for the cell shown
Formation energy (no corrections) ... -3.053 eV per atom

***

Question: The lowest electronic total energy belongs to which entry?
Answer: PmVRu2